No. 1
The following is a DFT calculation (PBE-GGA) of Mn6FePt after structural relaxation.

Results
DFT total energy = -8.78 eV per atom
Size of the total moment = 2.3 μB/f.u.
Crystal system = tetragonal

Cell lengths 3.649, 3.649, 7.249 Å; angles 90.00, 90.00, 90.00 degrees
Atoms (fractional coordinates):
1 Mn 0.000 0.500 0.264
2 Mn 0.500 0.500 0.000
3 Mn 0.000 0.500 0.736
4 Mn 0.500 0.500 0.500
5 Mn 0.500 0.000 0.264
6 Mn 0.500 0.000 0.736
7 Fe 0.000 0.000 0.500
8 Pt 0.000 0.000 0.000

=====

No. 2
The following is a DFT calculation (PBE-GGA) of GaB3O after structural relaxation.

Results
Energy relative to the lowest polymorph listed for this composition = 533 meV/atom
Raw formation energy = 2.153 eV/atom
Size of the total moment = 0.0 μB/f.u.
Crystal system = cubic

Cell lengths 4.076, 4.076, 4.076 Å; angles 90.00, 90.00, 90.00 degrees
Atoms (fractional coordinates):
1 Ga 0.000 0.000 0.000
2 B 0.500 0.000 0.000
3 B 0.000 0.500 0.000
4 B 0.000 0.000 0.500
5 O 0.500 0.500 0.500

=====

No. 3
The following is a DFT calculation (PBE-GGA) of ScSbTe2I after structural relaxation.

Results
Energy relative to the lowest polymorph listed for this composition = 59 meV/atom
Raw formation energy = -0.084 eV/atom
Size of the total moment = 0.0 μB/f.u.
Crystal system = tetragonal

Cell lengths 5.459, 5.459, 5.785 Å; angles 90.00, 90.00, 90.00 degrees
Atoms (fractional coordinates):
1 Sb 0.000 0.000 0.500
2 Te 0.500 0.000 0.000
3 Te 0.000 0.500 0.000
4 I 0.500 0.500 0.500
5 Sc 0.000 0.000 0.000